Entry 1:
Material: TaRuSe2
Method: DFT, meta-GGA SCAN
State: PBEsol geometry

Cell lengths 3.850, 3.850, 8.592 Å; angles 90.00, 90.00, 90.00 degrees
Space group I-4m2 (No. 119)
One atom of each set of equivalent atoms:
Ta1 0.000 0.000 0.000 x2
Ru1 0.000 0.500 0.250 x2
Se1 0.000 0.000 0.500 x2
Se2 0.000 0.500 0.750 x2

Results
Calculated total energy (eV/atom): -35.13
Polymorph energy (0 for the lowest one) (meV/atom): 532
Formation energy without anion corrections (eV per atom): 0.257

Entry 2:
Material: TaRuSe2
Method: DFT, meta-GGA SCAN
State: PBEsol geometry

Cell lengths 3.0902, 3.0902, 23.3442 Å; angles 90.00, 90.00, 120.00 degrees
Space group R-3m (No. 166, hexagonal axes)
One atom of each set of equivalent atoms:
Ta1 0.0000 0.0000 0.0000 x3
Ru1 0.0000 0.0000 0.5000 x3
Se1 0.0000 0.0000 0.2487 x6

Results
Calculated total energy (eV/atom): -35.26
Polymorph energy (0 for the lowest one) (meV/atom): 403
Formation energy without anion corrections (eV per atom): 0.128

Entry 3:
Material: TaRuSe2
Method: DFT, meta-GGA SCAN
State: PBEsol geometry

Cell lengths 3.438, 3.438, 6.572 Å; angles 90.00, 90.00, 90.00 degrees
Space group P4mm (No. 99)
One atom of each set of equivalent atoms:
Ta1 0.000 0.000 0.000 x1
Ru1 0.500 0.500 0.183 x1
Se1 0.000 0.000 0.373 x1
Se2 0.500 0.500 0.806 x1

Results
Calculated total energy (eV/atom): -35.67
Polymorph energy (0 for the lowest one) (meV/atom): 0
Formation energy without anion corrections (eV per atom): -0.275

Entry 4:
Material: TaRuSe3
Method: DFT, meta-GGA SCAN
State: PBEsol geometry

Cell lengths 4.699, 4.699, 4.699 Å; angles 90.00, 90.00, 90.00 degrees
Space group Pm-3m (No. 221)
One atom of each set of equivalent atoms:
Ta1 0.000 0.000 0.000 x1
Ru1 0.500 0.500 0.500 x1
Se1 0.000 0.500 0.500 x3

Results
Calculated total energy (eV/atom): -31.42
Formation energy without anion corrections (eV per atom): 0.907

Entry 5:
Material: TaRu2Se
Method: DFT, meta-GGA SCAN
State: PBEsol geometry

Cell lengths 6.210, 6.210, 6.210 Å; angles 90.00, 90.00, 90.00 degrees
Space group F-43m (No. 216)
One atom of each set of equivalent atoms:
Ta1 0.000 0.000 0.000 x4
Ru1 0.000 0.000 0.500 x4
Ru2 0.250 0.250 0.250 x4
Se1 0.250 0.250 0.750 x4

Results
Calculated total energy (eV/atom): -38.75
Formation energy without anion corrections (eV per atom): 0.330

Entry 6:
Material: TcRuSe4
Method: DFT, meta-GGA SCAN
State: PBEsol geometry

Cell lengths 7.528, 7.528, 7.528 Å; angles 90.00, 90.00, 90.00 degrees
Space group F-43m (No. 216)
One atom of each set of equivalent atoms:
Tc1 0.000 0.000 0.000 x4
Ru1 0.250 0.250 0.250 x4
Se1 0.125 0.125 0.625 x16

Results
Calculated total energy (eV/atom): -23.53
Formation energy without anion corrections (eV per atom): 1.506